# 1
# Ba3EuRu2O9

Crystalline Ba3EuRu2O9 at its relaxed geometry (GGA-PBE, the Alexandria database).

Calculated volume = 230.1 Å³/f.u.
Magnetization = 6.0 μB per cell
Formation energy (no corrections) = -2084 meV per atom
Electronic total energy = -7.37 eV per atom

Cell: 6.0042 6.0042 14.7381 Å, 90.00 90.00 120.00°
Sites, in units of the cell vectors:
Ba1 0.0000 0.0000 0.2500
Ba2 0.0000 0.0000 0.7500
Ba3 0.3333 0.6667 0.0994
Ba4 0.3333 0.6667 0.4006
Ba5 0.6667 0.3333 0.5994
Ba6 0.6667 0.3333 0.9006
Eu1 0.0000 0.0000 0.0000
Eu2 0.0000 0.0000 0.5000
Ru1 0.3333 0.6667 0.6654
Ru2 0.3333 0.6667 0.8346
Ru3 0.6667 0.3333 0.1654
Ru4 0.6667 0.3333 0.3346
O1 0.0171 0.5085 0.7500
O2 0.1787 0.3573 0.5917
O3 0.1787 0.3573 0.9083
O4 0.1787 0.8213 0.5917
O5 0.1787 0.8213 0.9083
O6 0.3573 0.1787 0.0917
O7 0.3573 0.1787 0.4083
O8 0.4915 0.5085 0.7500
O9 0.4915 0.9829 0.7500
O10 0.5085 0.0171 0.2500
O11 0.5085 0.4915 0.2500
O12 0.6427 0.8213 0.5917
O13 0.6427 0.8213 0.9083
O14 0.8213 0.1787 0.0917
O15 0.8213 0.1787 0.4083
O16 0.8213 0.6427 0.0917
O17 0.8213 0.6427 0.4083
O18 0.9829 0.4915 0.2500

# 2
# BaTbEuSbO6

Crystalline BaTbEuSbO6 at its relaxed geometry (GGA-PBE, the Alexandria database).

Calculated volume = 150.7 Å³/f.u.
Magnetization = 14.0 μB per cell
Formation energy (no corrections) = -2634 meV per atom
Electronic total energy = -7.70 eV per atom
Offset from the most stable computed form = 0.0 meV per atom

Cell: 5.9723 5.9816 8.4371 Å, 89.79 89.75 89.85°
Sites, in units of the cell vectors:
Ba1 0.0046 0.0140 0.2503
Ba2 0.9954 0.9860 0.7497
Tb1 0.0000 0.5000 0.0000
Tb2 0.5000 0.0000 0.5000
Eu1 0.4963 0.5248 0.2491
Eu2 0.5037 0.4752 0.7509
Sb1 0.0000 0.5000 0.5000
Sb2 0.5000 0.0000 0.0000
O1 0.0751 0.4868 0.7349
O2 0.2173 0.7552 0.4749
O3 0.2387 0.7883 0.0184
O4 0.2596 0.2894 0.4546
O5 0.2985 0.2687 0.0430
O6 0.4505 0.0420 0.7646
O7 0.5495 0.9580 0.2354
O8 0.7015 0.7313 0.9570
O9 0.7404 0.7106 0.5454
O10 0.7613 0.2117 0.9816
O11 0.7827 0.2448 0.5251
O12 0.9249 0.5132 0.2651

# 3
# BaTbEuSbO6

Crystalline BaTbEuSbO6 at its relaxed geometry (GGA-PBE, the Alexandria database).

Calculated volume = 152.2 Å³/f.u.
Magnetization = 7.0 μB per cell
Formation energy (no corrections) = -2610 meV per atom
Electronic total energy = -7.68 eV per atom
Offset from the most stable computed form = 23.7 meV per atom

Cell: 5.9936 5.9936 5.9936 Å, 60.00 60.00 60.00°
Sites, in units of the cell vectors:
Ba1 0.0000 0.0000 0.0000
Tb1 0.7500 0.7500 0.7500
Eu1 0.5000 0.5000 0.5000
Sb1 0.2500 0.2500 0.2500
O1 0.0135 0.0135 0.4865
O2 0.0135 0.4865 0.0135
O3 0.0135 0.4865 0.4865
O4 0.4865 0.0135 0.0135
O5 0.4865 0.0135 0.4865
O6 0.4865 0.4865 0.0135

# 4
# BaEuYSbO6

Crystalline BaEuYSbO6 at its relaxed geometry (GGA-PBE, the Alexandria database).

Calculated volume = 151.4 Å³/f.u.
Magnetization = 7.0 μB per cell
Formation energy (no corrections) = -2607 meV per atom
Electronic total energy = -7.86 eV per atom
Offset from the most stable computed form = 22.9 meV per atom

Cell: 5.9826 5.9826 5.9826 Å, 60.00 60.00 60.00°
Sites, in units of the cell vectors:
Ba1 0.0000 0.0000 0.0000
Eu1 0.5000 0.5000 0.5000
Y1 0.7500 0.7500 0.7500
Sb1 0.2500 0.2500 0.2500
O1 0.0131 0.0131 0.4869
O2 0.0131 0.4869 0.0131
O3 0.0131 0.4869 0.4869
O4 0.4869 0.0131 0.0131
O5 0.4869 0.0131 0.4869
O6 0.4869 0.4869 0.0131

# 5
# BaEuYSbO6

Crystalline BaEuYSbO6 at its relaxed geometry (GGA-PBE, the Alexandria database).

Calculated volume = 150.0 Å³/f.u.
Magnetization = 14.0 μB per cell
Formation energy (no corrections) = -2630 meV per atom
Electronic total energy = -7.88 eV per atom
Offset from the most stable computed form = 0.0 meV per atom

Cell: 5.9650 5.9725 8.4228 Å, 89.79 89.75 89.85°
Sites, in units of the cell vectors:
Ba1 0.0046 0.0135 0.2503
Ba2 0.9954 0.9865 0.7497
Eu1 0.4962 0.5244 0.2491
Eu2 0.5038 0.4756 0.7509
Y1 0.0000 0.5000 0.0000
Y2 0.5000 0.0000 0.5000
Sb1 0.0000 0.5000 0.5000
Sb2 0.5000 0.0000 0.0000
O1 0.0748 0.4868 0.7353
O2 0.2188 0.7545 0.4748
O3 0.2393 0.7869 0.0184
O4 0.2592 0.2883 0.4549
O5 0.2973 0.2683 0.0429
O6 0.4506 0.0417 0.7642
O7 0.5494 0.9583 0.2358
O8 0.7027 0.7317 0.9571
O9 0.7408 0.7117 0.5451
O10 0.7607 0.2131 0.9816
O11 0.7812 0.2455 0.5252
O12 0.9252 0.5132 0.2647

# 6
# BaSrEuSeO6

Crystalline BaSrEuSeO6 at its relaxed geometry (GGA-PBE, the Alexandria database).

Calculated volume = 148.2 Å³/f.u.
Magnetization = 7.0 μB per cell
Formation energy (no corrections) = -2024 meV per atom
Electronic total energy = -6.73 eV per atom

Cell: 5.9400 5.9400 5.9400 Å, 60.00 60.00 60.00°
Sites, in units of the cell vectors:
Ba1 0.0000 0.0000 0.0000
Sr1 0.7500 0.7500 0.7500
Eu1 0.5000 0.5000 0.5000
Se1 0.2500 0.2500 0.2500
O1 0.0317 0.0317 0.4683
O2 0.0317 0.4683 0.0317
O3 0.0317 0.4683 0.4683
O4 0.4683 0.0317 0.0317
O5 0.4683 0.0317 0.4683
O6 0.4683 0.4683 0.0317

Among the records above, which one has the lowest calculated volume?
BaSrEuSeO6

Among the records above, which one has the lowest magnetization?
Ba3EuRu2O9

The lowest electronic total energy belongs to which entry?
number 5

Among the records above, which one has the lowest calculated volume?
BaSrEuSeO6